# LaNi2Sb, PBEsol geometry, DFT meta-GGA SCAN
data_LaNi2Sb
_chemical_formula_sum 'La1 Ni2 Sb1'
_cell_length_a 3.323
_cell_length_b 3.323
_cell_length_c 6.714
_cell_angle_alpha 90.00
_cell_angle_beta 90.00
_cell_angle_gamma 90.00
_symmetry_space_group_name_H-M 'P 4 m m'
_symmetry_Int_Tables_number 99
_symmetry_space_group_name_Hall 'P 4 -2'
loop_
_atom_site_label
_atom_site_fract_x
_atom_site_fract_y
_atom_site_fract_z
La1 0.000 0.000 0.000
Ni1 0.000 0.000 0.436
Ni2 0.500 0.500 0.248
Sb1 0.500 0.500 0.616
# - magnetic moment (Bohr magnetons per cell) = 0.00
# - density of states at the Fermi level (states/eV per atom) = 0.48
# - raw formation energy (meV per atom) = -186

=====

# LaNi2Sb, PBEsol geometry, DFT meta-GGA SCAN
data_LaNi2Sb
_chemical_formula_sum 'La2 Ni4 Sb2'
_cell_length_a 3.247
_cell_length_b 4.543
_cell_length_c 10.079
_cell_angle_alpha 90.00
_cell_angle_beta 90.00
_cell_angle_gamma 90.00
_symmetry_space_group_name_H-M 'I m m 2'
_symmetry_Int_Tables_number 44
_symmetry_space_group_name_Hall 'I 2 -2'
loop_
_atom_site_label
_atom_site_fract_x
_atom_site_fract_y
_atom_site_fract_z
La1 0.000 0.000 0.000
Ni1 0.000 0.000 0.507
Ni2 0.000 0.500 0.803
Sb1 0.000 0.500 0.224
# - magnetic moment (Bohr magnetons per cell) = 0.00
# - density of states at the Fermi level (states/eV per atom) = 0.46
# - raw formation energy (meV per atom) = -92

=====

# LaNi2Sb, PBEsol geometry, DFT meta-GGA SCAN
data_LaNi2Sb
_chemical_formula_sum 'La1 Ni2 Sb1'
_cell_length_a 3.308
_cell_length_b 3.308
_cell_length_c 6.682
_cell_angle_alpha 90.00
_cell_angle_beta 90.00
_cell_angle_gamma 90.00
_symmetry_space_group_name_H-M 'P 4/m m m'
_symmetry_Int_Tables_number 123
_symmetry_space_group_name_Hall '-P 4 2'
loop_
_atom_site_label
_atom_site_fract_x
_atom_site_fract_y
_atom_site_fract_z
La1 0.000 0.000 0.000
Ni1 0.500 0.500 0.302
Sb1 0.000 0.000 0.500
# - magnetic moment (Bohr magnetons per cell) = 0.00
# - density of states at the Fermi level (states/eV per atom) = 0.76
# - raw formation energy (meV per atom) = -104

=====

# LaNi2Sb, PBEsol geometry, DFT meta-GGA SCAN
data_LaNi2Sb
_chemical_formula_sum 'La1 Ni2 Sb1'
_cell_length_a 4.069
_cell_length_b 4.087
_cell_length_c 5.139
_cell_angle_alpha 90.00
_cell_angle_beta 90.00
_cell_angle_gamma 90.00
_symmetry_space_group_name_H-M 'P m m m'
_symmetry_Int_Tables_number 47
_symmetry_space_group_name_Hall '-P 2 2'
loop_
_atom_site_label
_atom_site_fract_x
_atom_site_fract_y
_atom_site_fract_z
La1 0.000 0.000 0.000
Ni1 0.500 0.500 0.229
Sb1 0.000 0.500 0.500
# - magnetic moment (Bohr magnetons per cell) = 0.00
# - density of states at the Fermi level (states/eV per atom) = 0.65
# - raw formation energy (meV per atom) = -380

=====

# La2NiSb, PBEsol geometry, DFT meta-GGA SCAN
data_La2NiSb
_chemical_formula_sum 'La6 Ni3 Sb3'
_cell_length_a 4.2924
_cell_length_b 4.2924
_cell_length_c 21.3662
_cell_angle_alpha 90.00
_cell_angle_beta 90.00
_cell_angle_gamma 120.00
_symmetry_space_group_name_H-M 'R -3 m'
_symmetry_Int_Tables_number 166
_symmetry_space_group_name_Hall '-R 3 2"'
loop_
_atom_site_label
_atom_site_fract_x
_atom_site_fract_y
_atom_site_fract_z
La1 0.0000 0.0000 0.2397
Ni1 0.0000 0.0000 0.5000
Sb1 0.0000 0.0000 0.0000
# - magnetic moment (Bohr magnetons per cell) = 0.00
# - density of states at the Fermi level (states/eV per atom) = 0.67
# - raw formation energy (meV per atom) = -625

=====

# LaNi2Sb, PBEsol geometry, DFT meta-GGA SCAN
data_LaNi2Sb
_chemical_formula_sum 'La1 Ni2 Sb1'
_cell_length_a 4.541
_cell_length_b 4.541
_cell_length_c 3.547
_cell_angle_alpha 90.00
_cell_angle_beta 90.00
_cell_angle_gamma 90.00
_symmetry_space_group_name_H-M 'P 4/m m m'
_symmetry_Int_Tables_number 123
_symmetry_space_group_name_Hall '-P 4 2'
loop_
_atom_site_label
_atom_site_fract_x
_atom_site_fract_y
_atom_site_fract_z
La1 0.000 0.000 0.000
Ni1 0.000 0.500 0.500
Sb1 0.500 0.500 0.000
# - magnetic moment (Bohr magnetons per cell) = 0.00
# - density of states at the Fermi level (states/eV per atom) = 0.54
# - raw formation energy (meV per atom) = -173

=====

# La2Ni2Sb, PBEsol geometry, DFT meta-GGA SCAN
data_La2Ni2Sb
_chemical_formula_sum 'La4 Ni4 Sb2'
_cell_length_a 7.248
_cell_length_b 7.248
_cell_length_c 4.057
_cell_angle_alpha 90.00
_cell_angle_beta 90.00
_cell_angle_gamma 90.00
_symmetry_space_group_name_H-M 'P 4/m b m'
_symmetry_Int_Tables_number 127
_symmetry_space_group_name_Hall '-P 4 2ab'
loop_
_atom_site_label
_atom_site_fract_x
_atom_site_fract_y
_atom_site_fract_z
La1 0.182 0.318 0.000
Ni1 0.119 0.619 0.500
Sb1 0.000 0.000 0.500
# - magnetic moment (Bohr magnetons per cell) = 0.00
# - density of states at the Fermi level (states/eV per atom) = 0.67
# - raw formation energy (meV per atom) = -630

=====

# LaScNi4, PBEsol geometry, DFT meta-GGA SCAN
data_LaScNi4
_chemical_formula_sum 'La4 Sc4 Ni16'
_cell_length_a 7.030
_cell_length_b 7.030
_cell_length_c 7.030
_cell_angle_alpha 90.00
_cell_angle_beta 90.00
_cell_angle_gamma 90.00
_symmetry_space_group_name_H-M 'F -4 3 m'
_symmetry_Int_Tables_number 216
_symmetry_space_group_name_Hall 'F -4 2 3'
loop_
_atom_site_label
_atom_site_fract_x
_atom_site_fract_y
_atom_site_fract_z
La1 0.000 0.000 0.000
Sc1 0.250 0.250 0.750
Ni1 0.124 0.124 0.376
# - magnetic moment (Bohr magnetons per cell) = 0.00
# - density of states at the Fermi level (states/eV per atom) = 0.48
# - final energy (eV per atom) = -20.695

=====

# La2ScNi2, PBEsol geometry, DFT meta-GGA SCAN
data_La2ScNi2
_chemical_formula_sum 'La4 Sc2 Ni4'
_cell_length_a 7.408
_cell_length_b 7.408
_cell_length_c 3.920
_cell_angle_alpha 90.00
_cell_angle_beta 90.00
_cell_angle_gamma 90.00
_symmetry_space_group_name_H-M 'P 4/m b m'
_symmetry_Int_Tables_number 127
_symmetry_space_group_name_Hall '-P 4 2ab'
loop_
_atom_site_label
_atom_site_fract_x
_atom_site_fract_y
_atom_site_fract_z
La1 0.173 0.327 0.000
Sc1 0.000 0.000 0.500
Ni1 0.125 0.625 0.500
# - magnetic moment (Bohr magnetons per cell) = 0.00
# - density of states at the Fermi level (states/eV per atom) = 0.93
# - final energy (eV per atom) = -26.778

=====

# LaY2ScNi, PBEsol geometry, DFT meta-GGA SCAN
data_LaY2ScNi
_chemical_formula_sum 'La1 Y2 Sc1 Ni1'
_cell_length_a 5.252
_cell_length_b 5.252
_cell_length_c 5.391
_cell_angle_alpha 90.00
_cell_angle_beta 90.00
_cell_angle_gamma 90.00
_symmetry_space_group_name_H-M 'P 4/m m m'
_symmetry_Int_Tables_number 123
_symmetry_space_group_name_Hall '-P 4 2'
loop_
_atom_site_label
_atom_site_fract_x
_atom_site_fract_y
_atom_site_fract_z
La1 0.000 0.000 0.000
Y1 0.000 0.500 0.500
Sc1 0.000 0.000 0.500
Ni1 0.500 0.500 0.000
# - magnetic moment (Bohr magnetons per cell) = 1.22
# - density of states at the Fermi level (states/eV per atom) = 0.78
# - final energy (eV per atom) = -24.761

=====

# LaNi2Se2, PBEsol geometry, DFT meta-GGA SCAN
data_LaNi2Se2
_chemical_formula_sum 'La2 Ni4 Se4'
_cell_length_a 3.897
_cell_length_b 3.897
_cell_length_c 11.385
_cell_angle_alpha 90.00
_cell_angle_beta 90.00
_cell_angle_gamma 90.00
_symmetry_space_group_name_H-M 'I 4/m m m'
_symmetry_Int_Tables_number 139
_symmetry_space_group_name_Hall '-I 4 2'
loop_
_atom_site_label
_atom_site_fract_x
_atom_site_fract_y
_atom_site_fract_z
La1 0.000 0.000 0.000
Ni1 0.000 0.500 0.250
Se1 0.000 0.000 0.365
# - polymorph energy (0 for the lowest one) (meV/atom) = 0
# - magnetic moment (Bohr magnetons per cell) = 0.00
# - density of states at the Fermi level (states/eV per atom) = 0.52
# - raw formation energy (meV per atom) = -904

=====

# LaNi2Se, PBEsol geometry, DFT meta-GGA SCAN
data_LaNi2Se
_chemical_formula_sum 'La1 Ni2 Se1'
_cell_length_a 3.528
_cell_length_b 3.528
_cell_length_c 5.695
_cell_angle_alpha 90.00
_cell_angle_beta 90.00
_cell_angle_gamma 90.00
_symmetry_space_group_name_H-M 'P 4/m m m'
_symmetry_Int_Tables_number 123
_symmetry_space_group_name_Hall '-P 4 2'
loop_
_atom_site_label
_atom_site_fract_x
_atom_site_fract_y
_atom_site_fract_z
La1 0.000 0.000 0.000
Ni1 0.500 0.500 0.290
Se1 0.000 0.000 0.500
# - magnetic moment (Bohr magnetons per cell) = 0.69
# - density of states at the Fermi level (states/eV per atom) = 0.77
# - raw formation energy (meV per atom) = -103